[1]
Compound: TcSI
Source: the Alexandria database
Functional: PBE
Structure: optimized geometry

## Properties
Symmetry ... No. 8
Calculated volume ... 142.5 Å³ per cell
Distance to the lowest polymorph of the same formula ... 0.267 eV per atom
Total moment ... 0.00 μB per cell
E ... -16.1 eV per formula unit

```
TcSI
1.0
-7.288 2.396 -2.384
-1.336 -2.361 1.710
0.320 3.147 4.594
I S Tc
2 2 2
Cartesian
-3.523 4.042 2.829 I
-4.351 1.288 1.387 I
0.058 1.477 2.084 S
-0.450 1.870 5.236 S
-1.110 3.050 3.343 Tc
-1.938 0.295 1.901 Tc
```



[2]
Compound: TcSI
Source: the Alexandria database
Functional: PBE
Structure: optimized geometry

## Properties
Symmetry ... No. 8
Calculated volume ... 157.7 Å³ per cell
Distance to the lowest polymorph of the same formula ... 0.202 eV per atom
Total moment ... 0.00 μB per cell
E ... -16.3 eV per formula unit

```
TcSI
1.0
6.584 0.000 0.001
0.000 3.720 0.000
-0.122 0.000 6.441
I S Tc
2 2 2
Cartesian
3.383 0.000 2.278 I
3.322 1.860 5.499 I
6.090 0.000 4.479 S
6.151 1.860 1.258 S
5.386 0.000 0.170 Tc
5.325 1.860 3.390 Tc
```



[3]
Compound: TcSI3
Source: the Alexandria database
Functional: PBE
Structure: optimized geometry

## Properties
Symmetry ... No. 221
Calculated volume ... 153.5 Å³ per cell
Distance to the lowest polymorph of the same formula ... 0.873 eV per atom
Total moment ... 0.10 μB per cell
E ... -15.3 eV per formula unit

```
TcSI3
1.0
-2.572 4.572 1.070
-4.608 -2.692 0.430
0.905 -0.714 5.228
I S Tc
3 1 1
Cartesian
-2.304 -1.346 0.215 I
0.452 -0.357 2.614 I
-1.286 2.286 0.535 I
-3.137 0.583 3.364 S
0.000 0.000 0.000 Tc
```



[4]
Compound: TcTeSI2
Source: the Alexandria database
Functional: PBE
Structure: optimized geometry

## Properties
Symmetry ... No. 123
Calculated volume ... 161.0 Å³ per cell
Distance to the lowest polymorph of the same formula ... 0.377 eV per atom
Total moment ... 4.80 μB per cell
E ... -15.1 eV per formula unit

```
TcTeSI2
1.0
5.471 0.000 0.000
0.000 5.471 0.000
0.000 0.000 5.380
I S Te Tc
2 1 1 1
Cartesian
0.000 2.735 0.000 I
2.735 0.000 0.000 I
0.000 0.000 0.000 S
0.000 0.000 2.690 Te
2.735 2.735 2.690 Tc
```